1.
VASP calculation (PBE) on a relaxed structure of ScHgOs2.

Its electronic total energy is -55.753 eV/cell. The total moment is 0.0 μB/f.u.

The structure belongs to space group C2/m (No. 12); the cell edges are 9.3926, 2.9389 and 5.0316 Å and the angles 90.00°, 100.81° and 90.00°. The asymmetric unit holds Sc at (0.0000, 0.0000, 0.0000), Hg at (0.0000, 0.5000, 0.5000) and Os at (0.2419, 0.5000, 0.2216).

=====

2.
VASP calculation (PBE) on a relaxed structure of Sc4HgOs.

Its electronic total energy is -156.094 eV/cell. The calculation puts the polymorph energy (0 for the lowest one) at 0.0 meV per atom. The total moment is 0.0 μB/f.u.

The structure belongs to space group C2/c (No. 15); the cell edges are 8.1288, 11.9215 and 5.8245 Å and the angles 90.00°, 106.66° and 90.00°. The asymmetric unit holds Sc at (0.1057, 0.1726, 0.0482), Sc at (0.2197, 0.4211, 0.3956), Hg at (0.0000, 0.3725, 0.7500) and Os at (0.0000, 0.0005, 0.2500).

=====

3.
VASP calculation (PBE) on a relaxed structure of Sc2HgOs.

Its electronic total energy is -49.909 eV/cell. The total moment is 0.0 μB/f.u.

The structure belongs to space group Imm2 (No. 44); the cell edges are 3.3397, 4.6459 and 10.1226 Å and the angles 90.00°, 90.00° and 90.00°. The asymmetric unit holds Sc at (0.0000, 0.0000, 0.0000), Sc at (0.0000, 0.5000, 0.2108), Hg at (0.0000, 0.5000, 0.7699) and Os at (0.0000, 0.0000, 0.5016).

=====

It is found that the formation energy values, taken in the order of the records, are 29.3; -34.8; -18.3 kJ/mol of atoms.
It is found that the Fermi-level density of states values, taken in the order of the records, are 4.45; 6.66; 2.81 states/eV/f.u..